Entry 1:
Pm3Sm3Ga4: relaxed, PBE.

Calculated values
Space group   Amm2 (38)
Magnetic moment   0.00 μB/atom

abc: 4.509 7.770 7.770
angles: 89.86 90.00 90.00
Atoms (fractional coordinates):
Pm  0.500  0.826  0.174
Pm  0.500  0.326  0.326
Pm  0.500  0.674  0.674
Sm  0.000  0.500  0.000
Sm  0.000  0.000  0.500
Sm  0.500  0.175  0.825
Ga  0.000  0.618  0.382
Ga  0.000  0.381  0.619
Ga  0.000  0.883  0.882
Ga  0.000  0.118  0.117



Entry 2:
PmSm3Ga: relaxed, PBE.

Calculated values
Offset from the most stable computed form   0.000 eV per atom
Space group   P-1 (2)
Magnetic moment   0.00 μB/atom

abc: 3.739 8.628 9.857
angles: 103.41 100.95 90.02
Atoms (fractional coordinates):
Pm  0.822  0.068  0.899
Pm  0.009  0.156  0.277
Sm  0.613  0.929  0.482
Sm  0.217  0.296  0.693
Sm  0.417  0.413  0.088
Sm  0.232  0.729  0.719
Sm  0.414  0.812  0.088
Sm  0.599  0.496  0.456
Ga  0.018  0.679  0.294
Ga  0.812  0.545  0.882



Entry 3:
Pm2SmGa6: relaxed, PBE.

Calculated values
Offset from the most stable computed form   0.000 eV per atom
Space group   P6/mmm (191)
Magnetic moment   0.00 μB/atom

abc: 4.256 7.374 7.374
angles: 120.00 90.00 90.00
Atoms (fractional coordinates):
Pm  0.000  0.333  0.667
Pm  0.000  0.667  0.333
Sm  0.000  0.000  0.000
Ga  0.500  0.333  0.333
Ga  0.500  0.667  0.667
Ga  0.500  0.000  0.667
Ga  0.500  0.667  0.000
Ga  0.500  0.333  0.000
Ga  0.500  0.000  0.333



Entry 4:
PmSm5Ga6: relaxed, PBE.

Calculated values
Space group   P2/m (10)
Magnetic moment   0.00 μB/atom

abc: 5.161 7.305 8.164
angles: 90.00 71.64 90.00
Atoms (fractional coordinates):
Sm  0.666  0.500  0.667
Sm  0.333  0.000  0.334
Sm  0.000  0.500  0.000
Sm  0.667  0.000  0.666
Sm  0.334  0.500  0.333
Ga  0.833  0.749  0.334
Ga  0.833  0.251  0.334
Ga  0.500  0.251  0.000
Ga  0.500  0.749  0.000
Ga  0.167  0.749  0.666
Ga  0.167  0.251  0.666
Pm  0.000  0.000  0.000



Entry 5:
PmSm4Ga5: relaxed, PBE.

Calculated values
Space group   P4/mmm (123)
Magnetic moment   0.00 μB/atom

abc: 3.651 3.651 18.247
angles: 90.00 90.00 90.00
Atoms (fractional coordinates):
Pm  0.000  0.000  0.000
Sm  0.000  0.000  0.201
Sm  0.000  0.000  0.400
Sm  0.000  0.000  0.600
Sm  0.000  0.000  0.799
Ga  0.500  0.500  0.101
Ga  0.500  0.500  0.301
Ga  0.500  0.500  0.500
Ga  0.500  0.500  0.699
Ga  0.500  0.500  0.899



Entry 6:
Pm3SmGa: relaxed, PBE.

Calculated values
Offset from the most stable computed form   0.134 eV per atom
Space group   C2/m (12)
Magnetic moment   0.00 μB/atom

abc: 7.592 7.592 7.583
angles: 105.52 117.78 105.50
Atoms (fractional coordinates):
Pm  0.845  0.052  0.277
Pm  0.225  0.432  0.277
Pm  0.775  0.568  0.723
Pm  0.719  0.441  0.160
Pm  0.155  0.948  0.723
Pm  0.281  0.559  0.840
Sm  0.710  0.061  0.771
Sm  0.290  0.939  0.229
Ga  0.625  0.750  0.375
Ga  0.375  0.250  0.625



Entry 7:
PmSmGa3: relaxed, PBE.

Calculated values
Offset from the most stable computed form   0.007 eV per atom
Space group   Cmcm (63)
Magnetic moment   0.00 μB/atom

abc: 4.223 4.303 13.226
angles: 99.36 90.00 90.00
Atoms (fractional coordinates):
Pm  0.250  0.797  0.594
Pm  0.750  0.203  0.406
Sm  0.250  0.072  0.144
Sm  0.750  0.928  0.856
Ga  0.250  0.382  0.764
Ga  0.750  0.618  0.236
Ga  0.250  0.476  0.953
Ga  0.750  0.524  0.047
Ga  0.750  0.327  0.655
Ga  0.250  0.673  0.345



Entry 8:
Pm4Sm3Ga4: relaxed, PBE.

Calculated values
Space group   Immm (71)
Magnetic moment   0.00 μB/atom

abc: 3.639 9.146 10.426
angles: 116.02 100.05 90.00
Atoms (fractional coordinates):
Pm  0.333  0.153  0.666
Pm  0.667  0.487  0.334
Pm  0.667  0.847  0.334
Pm  0.333  0.513  0.666
Sm  0.094  0.094  0.189
Sm  0.906  0.906  0.811
Sm  0.000  0.500  0.000
Ga  0.275  0.775  0.549
Ga  0.725  0.225  0.451
Ga  0.500  0.776  0.000
Ga  0.500  0.224  0.000



Entry 9:
Pm3SmGa8: relaxed, PBE.

Calculated values
Space group   R3m (160)
Magnetic moment   0.00 μB/atom

abc: 5.584 5.584 9.757
angles: 73.37 73.37 60.00
Atoms (fractional coordinates):
Pm  0.375  0.375  0.874
Pm  0.000  0.000  0.001
Pm  0.500  0.500  0.501
Sm  0.875  0.875  0.374
Ga  0.937  0.437  0.188
Ga  0.438  0.938  0.687
Ga  0.437  0.437  0.188
Ga  0.938  0.938  0.687
Ga  0.188  0.188  0.437
Ga  0.687  0.687  0.938
Ga  0.437  0.937  0.188
Ga  0.938  0.438  0.687



Entry 10:
Pm3SmGa3: relaxed, PBE.

Calculated values
Space group   Cmmm (65)
Magnetic moment   0.00 μB/atom

abc: 7.341 7.341 7.047
angles: 90.00 90.00 89.69
Atoms (fractional coordinates):
Pm  0.744  0.744  0.500
Pm  0.250  0.750  0.500
Pm  0.750  0.250  0.500
Pm  0.260  0.740  0.000
Pm  0.740  0.260  0.000
Pm  0.256  0.256  0.500
Sm  0.750  0.750  0.000
Sm  0.250  0.250  0.000
Ga  0.000  0.000  0.246
Ga  0.000  0.500  0.753
Ga  0.500  0.000  0.753
Ga  0.000  0.500  0.247
Ga  0.500  0.000  0.247
Ga  0.000  0.000  0.754



Entry 11:
PmSmGa2: relaxed, PBE.

Calculated values
Space group   R-3m (166)
Magnetic moment   0.00 μB/atom

abc: 3.778 3.778 9.047
angles: 77.95 77.95 60.00
Atoms (fractional coordinates):
Ga  0.750  0.750  0.751
Ga  0.250  0.250  0.249
Sm  0.000  0.000  0.000
Pm  0.500  0.500  0.500



Entry 12:
PmSmGa3: relaxed, PBE.

Calculated values
Offset from the most stable computed form   0.000 eV per atom
Space group   Cmcm (63)
Magnetic moment   0.00 μB/atom

abc: 4.311 4.226 13.199
angles: 90.00 99.40 90.00
Atoms (fractional coordinates):
Pm  0.928  0.750  0.855
Pm  0.072  0.250  0.145
Sm  0.203  0.750  0.406
Sm  0.797  0.250  0.594
Ga  0.619  0.750  0.237
Ga  0.381  0.250  0.763
Ga  0.524  0.750  0.047
Ga  0.476  0.250  0.953
Ga  0.674  0.250  0.347
Ga  0.326  0.750  0.653



Number 1: E_tot -45.43 eV per formula unit, energy of formation -0.4912 eV per atom, volume 27.220 Å³/atom. Number 2: E_tot -22.95 eV per formula unit, energy of formation -0.2031 eV per atom, volume 30.335 Å³/atom. Number 3: E_tot -38.53 eV per formula unit, energy of formation -0.6830 eV per atom, volume 22.269 Å³/atom. Number 4: E_tot -53.36 eV per formula unit, energy of formation -0.5708 eV per atom, volume 24.346 Å³/atom. Number 5: E_tot -44.48 eV per formula unit, energy of formation -0.5715 eV per atom, volume 24.326 Å³/atom. Number 6: E_tot -22.33 eV per formula unit, energy of formation -0.0660 eV per atom, volume 33.092 Å³/atom. Number 7: E_tot -21.80 eV per formula unit, energy of formation -0.6506 eV per atom, volume 23.717 Å³/atom. Number 8: E_tot -49.72 eV per formula unit, energy of formation -0.4050 eV per atom, volume 27.808 Å³/atom. Number 9: E_tot -50.08 eV per formula unit, energy of formation -0.5747 eV per atom, volume 20.725 Å³/atom. Number 10: E_tot -31.06 eV per formula unit, energy of formation -0.4301 eV per atom, volume 27.128 Å³/atom. Number 11: E_tot -17.09 eV per formula unit, energy of formation -0.3908 eV per atom, volume 27.140 Å³/atom. Number 12: E_tot -21.84 eV per formula unit, energy of formation -0.6572 eV per atom, volume 23.728 Å³/atom.